[1]
Sm2YS2O2: optimized geometry, PBE.

a b c (Å): 4.272 4.272 8.030
angles (deg): 105.43 105.43 90.00
Element x y z (fractional)
Y 0.000 0.000 0.000
O 0.500 0.000 0.000
O 0.000 0.500 0.000
S 0.181 0.181 0.361
S 0.819 0.819 0.639
Sm 0.366 0.366 0.733
Sm 0.634 0.634 0.267

Output
**Formation energy without anion corrections**: -2.3816 eV/atom

---

[2]
SmZrS2O: optimized geometry, PBE.

a b c (Å): 3.799 3.799 13.315
angles (deg): 90.00 90.00 90.00
Element x y z (fractional)
Sm 0.500 0.000 0.594
Sm 0.000 0.500 0.406
O 0.500 0.500 0.500
O 0.000 0.000 0.500
S 0.000 0.500 0.713
S 0.500 0.000 0.899
S 0.500 0.000 0.287
S 0.000 0.500 0.101
Zr 0.000 0.500 0.896
Zr 0.500 0.000 0.104

Output
**Formation energy without anion corrections**: -2.2385 eV/atom

---

[3]
Sn3SO: optimized geometry, PBE.

a b c (Å): 4.889 4.889 4.889
angles (deg): 90.00 90.00 90.00
Element x y z (fractional)
Sn 0.000 0.000 0.500
Sn 0.000 0.500 0.000
Sn 0.500 0.000 0.000
S 0.500 0.500 0.500
O 0.000 0.000 0.000

Output
**Formation energy without anion corrections**: -0.1024 eV/atom

---

[4]
SnSO3: optimized geometry, PBE.

a b c (Å): 4.008 4.008 4.008
angles (deg): 90.00 90.00 90.00
Element x y z (fractional)
Sn 0.000 0.000 0.000
O 0.000 0.500 0.000
O 0.500 0.000 0.000
O 0.000 0.000 0.500
S 0.500 0.500 0.500

Output
**Formation energy without anion corrections**: -0.1042 eV/atom